Entry 1:
The following is a PBE calculation of a relaxed structure of MoP2Rh, from the Alexandria database.

Calculated density, g/cm3: 7.8
ΔH_f (0 K), kcal/mol of atoms: -9.312

Unit cell a=3.249 b=3.249 c=5.283 alpha=90.00 beta=90.00 gamma=90.00
Space group P4mm (No. 99)
Inequivalent atoms, fractional coordinates:
Mo1 0.000 0.000 0.000
P1 0.000 0.000 0.477
P2 0.500 0.500 0.169
Rh1 0.500 0.500 0.623

Entry 2:
The following is a PBE calculation of a relaxed structure of Mo2PRh, from the Alexandria database.

Calculated density, g/cm3: 9.4
ΔH_f (0 K), kcal/mol of atoms: -1.541

Unit cell a=3.733 b=3.733 c=8.230 alpha=90.00 beta=90.00 gamma=90.00
Space group I4/mmm (No. 139)
Inequivalent atoms, fractional coordinates:
Mo1 0.000 0.500 0.250
P1 0.000 0.000 0.000
Rh1 0.000 0.000 0.500

Q: Which formula does entry 1 have?
A: MoP2Rh

Q: What is the ΔH_f (0 K) in the second record?
A: -1.541 kcal/mol of atoms

Q: Which of these has the highest calculated density?
A: Mo2PRh

Q: Number 2 is which compound?
A: Mo2PRh